Entry 1:
# PBE RbCa2ZrN, optimized geometry
# **ΔE_f (raw)**: 471 meV/atom
# **Calculated total energy**: -3.8983 eV per atom
# **V**: 181.8 Å³/f.u.
data_RbCa2ZrN
_chemical_formula_sum 'Rb1 Ca2 Zr1 N1'
_space_group_name_H-M_alt 'P 4/m m m'
_space_group_IT_number 123
_space_group_name_Hall '-P 4 2'
_cell_length_a 6.551
_cell_length_b 6.551
_cell_length_c 4.235
_cell_angle_alpha 90.00
_cell_angle_beta 90.00
_cell_angle_gamma 90.00
loop_
_atom_site_label
_atom_site_fract_x
_atom_site_fract_y
_atom_site_fract_z
Rb1 0.000 0.000 0.000
Ca1 0.000 0.500 0.500
Zr1 0.500 0.500 0.500
N1 0.500 0.500 0.000

***

Entry 2:
# PBE CaReN4, optimized geometry
# **ΔE_f (raw)**: 361 meV/atom
# **Calculated total energy**: -7.5980 eV per atom
# **V**: 88.1 Å³/f.u.
data_CaReN4
_chemical_formula_sum 'Ca4 Re4 N16'
_space_group_name_H-M_alt 'I 41/a'
_space_group_IT_number 88
_cell_length_a 5.467
_cell_length_b 5.467
_cell_length_c 11.795
_cell_angle_alpha 90.00
_cell_angle_beta 90.00
_cell_angle_gamma 90.00
loop_
_space_group_symop_operation_xyz
'x,y,z'
'-x,-y,-z'
'-y+3/4,x+1/4,z+1/4'
'y+3/4,-x+1/4,-z+1/4'
'-x+1/2,-y,z+1/2'
'x+1/2,y,-z+1/2'
'y+3/4,-x+3/4,z+3/4'
'-y+3/4,x+3/4,-z+3/4'
'x+1/2,y+1/2,z+1/2'
'-x+1/2,-y+1/2,-z+1/2'
'-y+1/4,x+3/4,z+3/4'
'y+1/4,-x+3/4,-z+3/4'
'-x,-y+1/2,z'
'x,y+1/2,-z'
'y+1/4,-x+1/4,z+1/4'
'-y+1/4,x+1/4,-z+1/4'
loop_
_atom_site_label
_atom_site_fract_x
_atom_site_fract_y
_atom_site_fract_z
Ca1 0.000 0.250 0.125
Re1 0.000 0.250 0.625
N1 0.143 0.010 0.711

***

Entry 3:
# PBE Ca8Re3N8, optimized geometry
# **ΔE_f (raw)**: -735 meV/atom
# **Calculated total energy**: -7.0484 eV per atom
# **V**: 325.8 Å³/f.u.
data_Ca8Re3N8
_chemical_formula_sum 'Ca16 Re6 N16'
_space_group_name_H-M_alt 'C 1 2/m 1'
_space_group_IT_number 12
_space_group_name_Hall '-C 2y'
_cell_length_a 18.270
_cell_length_b 5.078
_cell_length_c 7.288
_cell_angle_alpha 90.00
_cell_angle_beta 105.51
_cell_angle_gamma 90.00
loop_
_atom_site_label
_atom_site_fract_x
_atom_site_fract_y
_atom_site_fract_z
Ca1 0.024 0.000 0.262
Ca2 0.097 0.500 0.955
Ca3 0.163 0.500 0.468
Ca4 0.198 0.000 0.794
Re1 0.000 0.500 0.500
Re2 0.187 0.000 0.205
N1 0.028 0.500 0.270
N2 0.100 0.000 0.998
N3 0.178 0.000 0.451
N4 0.215 0.500 0.828

***

Entry 4:
# PBE Ca5Re2N6, optimized geometry
# **ΔE_f (raw)**: -745 meV/atom
# **Calculated total energy**: -7.2722 eV per atom
# **V**: 208.1 Å³/f.u.
data_Ca5Re2N6
_chemical_formula_sum 'Ca20 Re8 N24'
_space_group_name_H-M_alt 'C 1 2/c 1'
_space_group_IT_number 15
_space_group_name_Hall '-C 2yc'
_cell_length_a 10.089
_cell_length_b 6.660
_cell_length_c 12.708
_cell_angle_alpha 90.00
_cell_angle_beta 102.84
_cell_angle_gamma 90.00
loop_
_atom_site_label
_atom_site_fract_x
_atom_site_fract_y
_atom_site_fract_z
Ca1 0.000 0.122 0.250
Ca2 0.060 0.242 0.999
Ca3 0.159 0.393 0.716
Re1 0.230 0.405 0.440
N1 0.045 0.461 0.376
N2 0.140 0.040 0.644
N3 0.207 0.034 0.414

***

Entry 5:
# PBE Ca3Re2N4, optimized geometry
# **ΔE_f (raw)**: -430 meV/atom
# **Calculated total energy**: -7.5636 eV per atom
# **V**: 132.7 Å³/f.u.
data_Ca3Re2N4
_chemical_formula_sum 'Ca12 Re8 N16'
_space_group_name_H-M_alt 'C 1 2/c 1'
_space_group_IT_number 15
_space_group_name_Hall '-C 2yc'
_cell_length_a 10.739
_cell_length_b 9.211
_cell_length_c 5.386
_cell_angle_alpha 90.00
_cell_angle_beta 94.79
_cell_angle_gamma 90.00
loop_
_atom_site_label
_atom_site_fract_x
_atom_site_fract_y
_atom_site_fract_z
Ca1 0.000 0.067 0.250
Ca2 0.106 0.330 0.519
Re1 0.240 0.112 0.936
N1 0.110 0.261 0.060
N2 0.172 0.075 0.593

***

Entry 6:
# PBE Ca2ReN3, optimized geometry
# **ΔE_f (raw)**: -670 meV/atom
# **Calculated total energy**: -7.5745 eV per atom
# **Energy above the most stable polymorph in this dataset**: 0.0994 eV per atom
# **V**: 85.2 Å³/f.u.
data_Ca2ReN3
_chemical_formula_sum 'Ca8 Re4 N12'
_space_group_name_H-M_alt 'C 1 2/c 1'
_space_group_IT_number 15
_space_group_name_Hall '-C 2yc'
_cell_length_a 9.396
_cell_length_b 6.379
_cell_length_c 5.683
_cell_angle_alpha 90.00
_cell_angle_beta 90.09
_cell_angle_gamma 90.00
loop_
_atom_site_label
_atom_site_fract_x
_atom_site_fract_y
_atom_site_fract_z
Ca1 0.179 0.164 0.250
Re1 0.000 0.379 0.750
N1 0.000 0.100 0.750
N2 0.139 0.500 0.000

***

Entry 7:
# PBE Ca3ReN3, optimized geometry
# **ΔE_f (raw)**: -759 meV/atom
# **Calculated total energy**: -6.9628 eV per atom
# **Energy above the most stable polymorph in this dataset**: 0.0711 eV per atom
# **V**: 121.7 Å³/f.u.
data_Ca3ReN3
_chemical_formula_sum 'Ca6 Re2 N6'
_space_group_name_H-M_alt 'P 63/m'
_space_group_IT_number 176
_space_group_name_Hall '-P 6c'
_cell_length_a 7.4563
_cell_length_b 7.4563
_cell_length_c 5.0538
_cell_angle_alpha 90.00
_cell_angle_beta 90.00
_cell_angle_gamma 120.00
loop_
_atom_site_label
_atom_site_fract_x
_atom_site_fract_y
_atom_site_fract_z
Ca1 0.1052 0.3552 0.2500
Re1 0.3333 0.6667 0.7500
N1 0.1134 0.3924 0.7500

***

Entry 8:
# PBE Ca4ReN4, optimized geometry
# **ΔE_f (raw)**: -516 meV/atom
# **Calculated total energy**: -6.4892 eV per atom
# **Energy above the most stable polymorph in this dataset**: 0.2437 eV per atom
# **V**: 141.0 Å³/f.u.
data_Ca4ReN4
_chemical_formula_sum 'Ca8 Re2 N8'
_space_group_name_H-M_alt 'P 42/n m c'
_space_group_IT_number 137
_cell_length_a 6.676
_cell_length_b 6.676
_cell_length_c 6.326
_cell_angle_alpha 90.00
_cell_angle_beta 90.00
_cell_angle_gamma 90.00
loop_
_space_group_symop_operation_xyz
'x,y,z'
'-x,-y,-z'
'-y+1/2,x,z+1/2'
'y+1/2,-x,-z+1/2'
'-x+1/2,-y+1/2,z'
'x+1/2,y+1/2,-z'
'y,-x+1/2,z+1/2'
'-y,x+1/2,-z+1/2'
'x+1/2,-y,-z'
'-x+1/2,y,z'
'-y,-x,-z+1/2'
'y,x,z+1/2'
'-x,y+1/2,-z'
'x,-y+1/2,z'
'y+1/2,x+1/2,-z+1/2'
'-y+1/2,-x+1/2,z+1/2'
loop_
_atom_site_label
_atom_site_fract_x
_atom_site_fract_y
_atom_site_fract_z
Ca1 0.028 0.250 0.118
Re1 0.250 0.750 0.250
N1 0.041 0.750 0.470